Record 1
First-principles (GGA-PBE) data for a relaxed CaLa2Bi crystal, as listed in the Alexandria database.

Lattice parameters (Å, degrees): 4.4396 4.4396 7.0687 90.00 90.00 90.00
Last column: nearest neighbours and their distance in Å.
Positions (direct):
Ca: 0.0000 0.0000 0.0000  2 Bi 3.53, 8 La 3.67
La: 0.5000 0.5000 0.2695  1 La 3.26, 4 Bi 3.54
La: 0.5000 0.5000 0.7305  1 La 3.26, 4 Bi 3.54
Bi: 0.0000 0.0000 0.5000  2 Ca 3.53, 8 La 3.54

Results
- spin magnetization (μB/f.u.) = 0.00
- E_form (eV/f.u.) = -1.83

=====

Record 2
First-principles (GGA-PBE) data for a relaxed Pr3AuSe2 crystal, as listed in the Alexandria database.

Lattice parameters (Å, degrees): 4.2190 6.0926 13.1605 90.00 90.00 90.00
Last column: nearest neighbours and their distance in Å.
Positions (direct):
Pr: 0.0000 0.0000 0.0000  4 Se 3.02, 2 Au 3.05
Pr: 0.0000 0.0000 0.3284  4 Se 3.02-3.05, 2 Au 3.09
Pr: 0.0000 0.0000 0.6716  4 Se 3.02-3.05, 2 Au 3.09
Pr: 0.5000 0.5000 0.1716  4 Se 3.02-3.05, 2 Au 3.09
Pr: 0.5000 0.5000 0.5000  4 Se 3.02, 2 Au 3.05
Pr: 0.5000 0.5000 0.8284  4 Se 3.02-3.05, 2 Au 3.09
Au: 0.0000 0.5000 0.0000  6 Pr 3.05-3.09
Au: 0.5000 0.0000 0.5000  6 Pr 3.05-3.09
Se: 0.0000 0.5000 0.3354  6 Pr 3.02-3.05
Se: 0.0000 0.5000 0.6646  6 Pr 3.02-3.05
Se: 0.5000 0.0000 0.1646  6 Pr 3.02-3.05
Se: 0.5000 0.0000 0.8354  6 Pr 3.02-3.05

Results
- spin magnetization (μB/f.u.) = 0.00
- final energy (eV/atom) = -5.567

=====

Record 3
First-principles (GGA-PBE) data for a relaxed TaCrCu2 crystal, as listed in the Alexandria database.

Lattice parameters (Å, degrees): 3.6911 3.6911 3.9943 90.00 90.00 90.00
Last column: nearest neighbours and their distance in Å.
Positions (direct):
Ta: 0.0000 0.0000 0.0000  4 Cr 2.61, 8 Cu 2.72
Cr: 0.5000 0.5000 0.0000  4 Ta 2.61, 8 Cu 2.72
Cu: 0.0000 0.5000 0.5000  4 Cu 2.61, 4 Cr 2.72, 4 Ta 2.72
Cu: 0.5000 0.0000 0.5000  4 Cu 2.61, 4 Cr 2.72, 4 Ta 2.72

Results
- E above lowest polymorph (meV/atom) = 10.2
- spin magnetization (μB/f.u.) = 1.15
- E_form (eV/f.u.) = 0.79